## Pm2PtRh (GGA-PBE)

Data for crystalline Pm2PtRh at its relaxed geometry.

Final energy: -6.676 eV/atom
Energy relative to the lowest polymorph listed for this composition: 0.0 meV/atom

Cell lengths 4.447, 5.762, 7.721 Å; angles 109.79, 90.00, 90.00 degrees
Sites, in units of the cell vectors:
Pm 0.250 0.779 0.568
Pt 0.750 0.671 0.793
Pt 0.250 0.329 0.207
Pm 0.250 0.777 0.071
Pm 0.750 0.223 0.929
Pm 0.750 0.221 0.432
Rh 0.750 0.678 0.293
Rh 0.250 0.322 0.707